(1)
Entry from Alexandria: Ac2Pm4Nd2Sm after structural relaxation (GGA-PBE).

Properties
**ΔH_f (0 K)**: 0.029 eV per atom
**Crystal system**: monoclinic
**D(E_F)**: 1.34 states/eV/atom

Cell: 9.9107 9.9107 10.0355 Å, 115.26 115.26 21.96°
Atoms (fractional coordinates):
Ac1 0.1461 0.1461 0.1648
Ac2 0.8539 0.8539 0.8352
Pm1 0.1836 0.1836 0.8309
Pm2 0.4817 0.4817 0.1789
Pm3 0.5183 0.5183 0.8211
Pm4 0.8164 0.8164 0.1691
Nd1 0.3348 0.3348 0.4956
Nd2 0.6652 0.6652 0.5044
Sm1 0.0000 0.0000 0.5000

---

(2)
Entry from Alexandria: AcPm2NdSm5 after structural relaxation (GGA-PBE).

Properties
**ΔH_f (0 K)**: 0.264 eV per atom
**Crystal system**: tetragonal
**D(E_F)**: 1.30 states/eV/atom

Cell: 10.1418 10.1418 10.1418 Å, 127.06 127.06 78.15°
Atoms (fractional coordinates):
Ac1 0.2500 0.7500 0.5000
Ac2 0.7500 0.2500 0.5000
Pm1 0.1141 0.6141 0.7282
Pm2 0.3859 0.1141 0.5000
Pm3 0.6141 0.8859 0.5000
Pm4 0.8859 0.3859 0.2718
Nd1 0.2500 0.2500 0.0000
Nd2 0.7500 0.7500 0.0000
Sm1 0.0000 0.0000 0.0000
Sm2 0.0790 0.1585 0.5000
Sm3 0.1585 0.6585 0.0796
Sm4 0.3415 0.4210 0.5000
Sm5 0.4210 0.9210 0.0796
Sm6 0.5000 0.5000 0.0000
Sm7 0.5790 0.0790 0.9204
Sm8 0.6585 0.5790 0.5000
Sm9 0.8415 0.3415 0.9204
Sm10 0.9210 0.8415 0.5000